Crystalline AcNdCuSe4 at its relaxed geometry. Source: the Alexandria database, functional PBE-GGA.

Lattice parameters (Å, degrees): 7.218 6.042 8.632 90.00 107.13 90.00
Positions (direct):
Ac: 0.737 0.750 0.933
Ac: 0.263 0.250 0.067
Nd: 0.732 0.750 0.436
Nd: 0.268 0.250 0.564
Cu: 0.255 0.750 0.316
Cu: 0.745 0.250 0.684
Se: 0.013 0.509 0.743
Se: 0.987 0.009 0.257
Se: 0.987 0.491 0.257
Se: 0.013 0.991 0.743
Se: 0.427 0.750 0.116
Se: 0.573 0.250 0.884
Se: 0.424 0.750 0.601
Se: 0.576 0.250 0.399

Uncorrected formation energy = -1.456 eV per atom
V = 360 Å³ per cell

***

Crystalline TeAsBr at its relaxed geometry. Source: the Alexandria database, functional PBE-GGA.

Lattice parameters (Å, degrees): 4.670 5.528 10.638 69.37 88.74 64.66
Positions (direct):
Te: 0.828 0.335 0.549
Te: 0.168 0.662 0.455
As: 0.425 0.136 0.888
As: 0.570 0.861 0.117
Br: 0.625 0.724 0.823
Br: 0.370 0.273 0.181

Uncorrected formation energy = 0.053 eV per atom
V = 230 Å³ per cell

***

Crystalline CoTcAu2 at its relaxed geometry. Source: the Alexandria database, functional PBE-GGA.

Lattice parameters (Å, degrees): 4.428 4.428 4.428 60.00 60.00 60.00
Positions (direct):
Co: 0.000 0.000 0.000
Au: 0.250 0.250 0.250
Au: 0.750 0.750 0.750
Tc: 0.500 0.500 0.500

Calculated formation energy = 0.57 eV per atom
V = 61 Å³ per cell

***

Crystalline Li2YPuAu4 at its relaxed geometry. Source: the Alexandria database, functional PBE-GGA.

Lattice parameters (Å, degrees): 4.566 4.566 9.632 76.29 76.29 60.00
Positions (direct):
Li: 0.752 0.752 0.744
Li: 0.248 0.248 0.256
Y: 0.500 0.500 0.500
Pu: 0.000 0.000 0.000
Au: 0.391 0.391 0.827
Au: 0.888 0.888 0.336
Au: 0.112 0.112 0.664
Au: 0.609 0.609 0.173

Calculated formation energy = -0.58 eV per atom
V = 167 Å³ per cell

***

Crystalline Tm2InNi2 at its relaxed geometry. Source: the Alexandria database, functional PBE-GGA.

Lattice parameters (Å, degrees): 3.635 3.838 7.370 105.07 90.00 90.00
Positions (direct):
Ni: 0.000 0.198 0.396
Ni: 0.000 0.802 0.604
Tm: 0.500 0.640 0.279
Tm: 0.500 0.360 0.721
In: 0.000 0.000 0.000

Calculated formation energy = -0.56 eV per atom
V = 99 Å³ per cell

***

Crystalline SmErCu2 at its relaxed geometry. Source: the Alexandria database, functional PBE-GGA.

Lattice parameters (Å, degrees): 4.942 4.942 4.942 60.00 60.00 60.00
Positions (direct):
Cu: 0.250 0.250 0.250
Cu: 0.750 0.750 0.750
Sm: 0.500 0.500 0.500
Er: 0.000 0.000 0.000

Calculated formation energy = -0.22 eV per atom
V = 85 Å³ per cell

***

Crystalline ZrBIN2 at its relaxed geometry. Source: the Alexandria database, functional PBE-GGA.

Lattice parameters (Å, degrees): 4.173 5.308 4.173 90.00 90.00 90.00
Positions (direct):
I: 0.500 0.500 0.500
B: 0.000 0.500 0.000
Zr: 0.000 0.000 0.000
N: 0.000 0.000 0.500
N: 0.500 0.000 0.000

Uncorrected formation energy = 1.239 eV per atom
V = 92 Å³ per cell

***

Crystalline Sm2Mn2Pt15 at its relaxed geometry. Source: the Alexandria database, functional PBE-GGA.

Lattice parameters (Å, degrees): 6.993 6.993 6.993 82.69 82.69 82.69
Positions (direct):
Sm: 0.345 0.345 0.345
Sm: 0.655 0.655 0.655
Mn: 0.099 0.099 0.099
Mn: 0.901 0.901 0.901
Pt: 0.500 0.000 0.000
Pt: 0.000 0.000 0.500
Pt: 0.000 0.500 0.000
Pt: 0.000 0.690 0.310
Pt: 0.690 0.310 0.000
Pt: 0.310 0.000 0.690
Pt: 0.310 0.690 0.000
Pt: 0.690 0.000 0.310
Pt: 0.000 0.310 0.690
Pt: 0.157 0.657 0.657
Pt: 0.657 0.657 0.157
Pt: 0.657 0.157 0.657
Pt: 0.843 0.343 0.343
Pt: 0.343 0.343 0.843
Pt: 0.343 0.843 0.343

Calculated formation energy = -0.47 eV per atom
V = 334 Å³ per cell

***

Crystalline K12Hg5Bi3 at its relaxed geometry. Source: the Alexandria database, functional PBE-GGA.

Lattice parameters (Å, degrees): 17.727 17.727 17.727 109.47 109.47 109.47
Positions (direct):
Bi: 0.750 0.375 0.125
Bi: 0.875 0.750 0.125
Bi: 0.375 0.750 0.625
Bi: 0.250 0.125 0.375
Bi: 0.875 0.125 0.250
Bi: 0.375 0.625 0.250
Bi: 0.625 0.375 0.750
Bi: 0.125 0.875 0.750
Bi: 0.750 0.875 0.625
Bi: 0.625 0.250 0.375
Bi: 0.125 0.250 0.875
Bi: 0.250 0.625 0.875
Hg: 0.125 0.375 0.250
Hg: 0.000 0.500 0.000
Hg: 0.000 0.000 0.000
Hg: 0.375 0.250 0.125
Hg: 0.500 0.000 0.500
Hg: 0.500 0.500 0.000
Hg: 0.125 0.750 0.375
Hg: 0.750 0.125 0.875
Hg: 0.750 0.625 0.375
Hg: 0.375 0.125 0.750
Hg: 0.625 0.875 0.250
Hg: 0.500 0.500 0.500
Hg: 0.500 0.000 0.000
Hg: 0.000 0.000 0.500
Hg: 0.250 0.375 0.625
Hg: 0.250 0.875 0.125
Hg: 0.000 0.500 0.500
Hg: 0.875 0.250 0.625
Hg: 0.625 0.750 0.875
Hg: 0.875 0.625 0.750
K: 0.733 0.141 0.063
K: 0.330 0.563 0.422
K: 0.937 0.359 0.267
K: 0.563 0.233 0.141
K: 0.592 0.733 0.670
K: 0.937 0.578 0.170
K: 0.330 0.767 0.408
K: 0.078 0.908 0.141
K: 0.578 0.937 0.670
K: 0.733 0.592 0.170
K: 0.767 0.437 0.359
K: 0.830 0.922 0.063
K: 0.141 0.733 0.563
K: 0.359 0.422 0.092
K: 0.092 0.922 0.359
K: 0.408 0.141 0.578
K: 0.092 0.170 0.233
K: 0.437 0.670 0.078
K: 0.830 0.908 0.267
K: 0.141 0.408 0.078
K: 0.359 0.937 0.767
K: 0.578 0.641 0.408
K: 0.922 0.830 0.563
K: 0.767 0.330 0.908
K: 0.422 0.359 0.592
K: 0.078 0.170 0.437
K: 0.233 0.670 0.092
K: 0.170 0.092 0.733
K: 0.641 0.063 0.233
K: 0.859 0.592 0.922
K: 0.563 0.330 0.922
K: 0.592 0.859 0.422
K: 0.908 0.830 0.767
K: 0.908 0.078 0.641
K: 0.859 0.267 0.437
K: 0.170 0.078 0.937
K: 0.641 0.578 0.908
K: 0.422 0.063 0.330
K: 0.267 0.408 0.830
K: 0.233 0.563 0.641
K: 0.922 0.092 0.859
K: 0.670 0.233 0.592
K: 0.437 0.767 0.859
K: 0.063 0.422 0.830
K: 0.408 0.267 0.330
K: 0.063 0.641 0.733
K: 0.670 0.437 0.578
K: 0.267 0.859 0.937

Calculated formation energy = -0.16 eV per atom
V = 4288 Å³ per cell

***

Crystalline Zr2InW at its relaxed geometry. Source: the Alexandria database, functional PBE-GGA.

Lattice parameters (Å, degrees): 3.480 3.480 6.837 90.00 90.00 90.00
Positions (direct):
In: 0.500 0.500 0.250
W: 0.500 0.500 0.750
Zr: 0.000 0.000 0.977
Zr: 0.000 0.000 0.523

Calculated formation energy = -0.13 eV per atom
V = 83 Å³ per cell

***

Crystalline ThZr2Ir at its relaxed geometry. Source: the Alexandria database, functional PBE-GGA.

Lattice parameters (Å, degrees): 4.321 4.321 6.802 71.48 71.48 60.00
Positions (direct):
Ir: 0.000 0.000 0.000
Zr: 0.281 0.281 0.157
Zr: 0.719 0.719 0.843
Th: 0.500 0.500 0.500

Calculated formation energy = -0.09 eV per atom
V = 102 Å³ per cell

***

Crystalline Al2HgSe2 at its relaxed geometry. Source: the Alexandria database, functional PBE-GGA.

Lattice parameters (Å, degrees): 4.756 4.756 6.667 69.10 69.10 90.00
Positions (direct):
Hg: 0.000 0.000 0.000
Se: 0.342 0.342 0.317
Se: 0.658 0.658 0.683
Al: 0.750 0.250 0.500
Al: 0.250 0.750 0.500

Uncorrected formation energy = -0.212 eV per atom
V = 130 Å³ per cell

***

Crystalline CaCeRu2 at its relaxed geometry. Source: the Alexandria database, functional PBE-GGA.

Lattice parameters (Å, degrees): 3.404 3.404 7.021 90.00 90.00 90.00
Positions (direct):
Ru: 0.000 0.000 0.788
Ru: 0.000 0.000 0.212
Ca: 0.500 0.500 0.500
Ce: 0.500 0.500 0.000

Calculated formation energy = -0.12 eV per atom
V = 81 Å³ per cell

***

Crystalline KSr2Rh at its relaxed geometry. Source: the Alexandria database, functional PBE-GGA.

Lattice parameters (Å, degrees): 5.727 5.727 5.727 60.00 60.00 60.00
Positions (direct):
K: 0.500 0.500 0.500
Rh: 0.750 0.750 0.750
Sr: 0.000 0.000 0.000
Sr: 0.250 0.250 0.250

Calculated formation energy = 0.40 eV per atom
V = 133 Å³ per cell

***

Crystalline TbEr5Al3 at its relaxed geometry. Source: the Alexandria database, functional PBE-GGA.

Lattice parameters (Å, degrees): 6.591 9.015 9.014 120.00 90.00 90.00
Positions (direct):
Tb: 0.000 0.000 0.000
Tb: 0.500 0.000 0.000
Er: 0.000 0.667 0.333
Er: 0.500 0.333 0.667
Er: 0.000 0.333 0.667
Er: 0.500 0.667 0.333
Er: 0.750 0.667 0.667
Er: 0.750 0.000 0.333
Er: 0.750 0.333 0.000
Er: 0.250 0.333 0.333
Er: 0.250 0.000 0.667
Er: 0.250 0.667 0.000
Al: 0.750 0.335 0.335
Al: 0.750 0.000 0.665
Al: 0.750 0.665 0.000
Al: 0.250 0.665 0.665
Al: 0.250 0.000 0.335
Al: 0.250 0.335 0.000

Calculated formation energy = -0.27 eV per atom
V = 464 Å³ per cell

***

Crystalline LiIF2 at its relaxed geometry. Source: the Alexandria database, functional PBE-GGA.

Lattice parameters (Å, degrees): 4.595 4.595 4.595 60.00 60.00 60.00
Positions (direct):
I: 0.500 0.500 0.500
Li: 0.000 0.000 0.000
F: 0.250 0.250 0.250
F: 0.750 0.750 0.750

Uncorrected formation energy = -1.013 eV per atom
V = 69 Å³ per cell

***

Crystalline TaTiInW at its relaxed geometry. Source: the Alexandria database, functional PBE-GGA.

Lattice parameters (Å, degrees): 4.653 4.653 4.653 60.00 60.00 60.00
Positions (direct):
In: 0.000 0.000 0.000
Ti: 0.250 0.250 0.250
W: 0.500 0.500 0.500
Ta: 0.750 0.750 0.750

Calculated formation energy = 0.08 eV per atom
V = 71 Å³ per cell

***

Crystalline Be4TlIn at its relaxed geometry. Source: the Alexandria database, functional PBE-GGA.

Lattice parameters (Å, degrees): 4.956 4.956 4.956 60.00 60.00 60.00
Positions (direct):
Be: 0.866 0.378 0.378
Be: 0.378 0.378 0.866
Be: 0.378 0.866 0.378
Be: 0.378 0.378 0.378
Tl: 0.000 0.000 0.000
In: 0.750 0.750 0.750

Calculated formation energy = 0.59 eV per atom
V = 86 Å³ per cell

***

Crystalline Al2ZnP at its relaxed geometry. Source: the Alexandria database, functional PBE-GGA.

Lattice parameters (Å, degrees): 4.967 2.650 5.710 62.09 90.00 90.00
Positions (direct):
P: 0.000 0.500 0.375
Zn: 0.500 0.500 0.875
Al: 0.000 0.000 0.875
Al: 0.500 0.500 0.375

Calculated formation energy = 0.02 eV per atom
V = 66 Å³ per cell

***

Crystalline Nd2WN6 at its relaxed geometry. Source: the Alexandria database, functional PBE-GGA.

Lattice parameters (Å, degrees): 5.328 5.328 10.626 90.00 90.00 90.00
Positions (direct):
Nd: 0.000 0.000 0.327
Nd: 0.500 0.500 0.827
Nd: 0.500 0.500 0.173
Nd: 0.000 0.000 0.673
W: 0.000 0.000 0.000
W: 0.500 0.500 0.500
N: 0.318 0.318 0.362
N: 0.682 0.682 0.362
N: 0.182 0.818 0.862
N: 0.818 0.182 0.862
N: 0.182 0.818 0.138
N: 0.818 0.182 0.138
N: 0.318 0.318 0.638
N: 0.682 0.682 0.638
N: 0.269 0.269 0.000
N: 0.731 0.731 0.000
N: 0.231 0.769 0.500
N: 0.769 0.231 0.500

Uncorrected formation energy = 0.293 eV per atom
V = 302 Å³ per cell

***

Crystalline Tb6Nd3Er2 at its relaxed geometry. Source: the Alexandria database, functional PBE-GGA.

Lattice parameters (Å, degrees): 5.682 5.682 13.354 77.72 77.72 60.00
Positions (direct):
Tb: 0.908 0.908 0.277
Tb: 0.092 0.092 0.723
Tb: 0.814 0.814 0.559
Tb: 0.186 0.186 0.441
Tb: 0.624 0.624 0.127
Tb: 0.376 0.376 0.873
Nd: 0.000 0.000 0.000
Nd: 0.717 0.717 0.848
Nd: 0.283 0.283 0.152
Er: 0.540 0.540 0.380
Er: 0.460 0.460 0.620

Calculated formation energy = 0.11 eV per atom
V = 362 Å³ per cell

***

Calculated magnetic moment, 0.0, 0.0, 0.0, 5.9, 0.0, 0.0, 0.0, 9.0, 0.0, 0.0, 0.0, 0.0, 0.0, 0.0, 0.0, 2.0, 0.0, 0.0, 0.0, 6.0, 0.0 μB/f.u. (same order as the records).
Calculated raw total energy, -0.1948, -0.1140, -0.1999, -0.1947, -0.1914, -0.1686, -0.2001, -0.2464, -0.0542, -0.3061, -0.3098, -0.1162, -0.2478, -0.0939, -0.1680, -0.1034, -0.3225, -0.1008, -0.1295, -0.2850, -0.1670 Ha/atom (same order as the records).